1.
# Sm3Ge4Pt7 (GGA-PBE, optimized geometry)
data_Sm3Ge4Pt7
_cell_length_a 15.856
_cell_length_b 4.142
_cell_length_c 9.679
_cell_angle_alpha 90.00
_cell_angle_beta 125.16
_cell_angle_gamma 90.00
_symmetry_space_group_name_H-M 'C 1 2/m 1'
_symmetry_Int_Tables_number 12
loop_
_symmetry_equiv_pos_as_xyz
'x,y,z'
'-x,-y,-z'
'-x,y,-z'
'x,-y,z'
'x+1/2,y+1/2,z'
'-x+1/2,-y+1/2,-z'
'-x+1/2,y+1/2,-z'
'x+1/2,-y+1/2,z'
loop_
_atom_site_label
_atom_site_type_symbol
_atom_site_fract_x
_atom_site_fract_y
_atom_site_fract_z
Sm1 Sm 0.000 0.000 0.000
Sm2 Sm 0.172 0.500 0.669
Ge1 Ge 0.111 0.000 0.825
Ge2 Ge 0.169 0.500 0.271
Pt1 Pt 0.000 0.000 0.500
Pt2 Pt 0.010 0.500 0.273
Pt3 Pt 0.166 0.000 0.422
Pt4 Pt 0.193 0.500 0.037
# - DFT formation energy: -0.934 eV per atom

=====

2.
# HfTi2F (GGA-PBE, optimized geometry)
data_HfTi2F
_cell_length_a 6.483
_cell_length_b 6.483
_cell_length_c 6.483
_cell_angle_alpha 90.00
_cell_angle_beta 90.00
_cell_angle_gamma 90.00
_symmetry_space_group_name_H-M 'F m -3 m'
_symmetry_Int_Tables_number 225
_symmetry_space_group_name_Hall '-F 4 2 3'
loop_
_atom_site_label
_atom_site_type_symbol
_atom_site_fract_x
_atom_site_fract_y
_atom_site_fract_z
Hf1 Hf 0.000 0.000 0.000
Ti1 Ti 0.250 0.250 0.250
F1 F 0.000 0.000 0.500
# - Energy relative to the elements, uncorrected: 21.45 kJ/mol of atoms
# - Relative energy among the computed polymorphs: 745 meV/atom

=====

no.,theoretical density (g cm⁻³)
1,13.469
2,7.148